a) Mg2HgCl | PBE-GGA | relaxed

Results
The density comes out at 5.1 Mg/m³. As for the volume: 93 Å³/cell. As for the crystal system: orthorhombic.

a = 6.3180 Å, b = 6.3180 Å, c = 6.3180 Å
α = 149.38°, β = 133.34°, γ = 56.85°
Last column: nearest neighbours and their distance in Å.
Atoms (fractional coordinates):
1 Hg 0.2661 0.7661 0.5000  6 Mg 3.04-3.33, 2 Hg 3.34
2 Cl 0.5453 0.5453 0.0000  2 Mg 2.61
3 Mg 0.7254 0.2254 0.5000  2 Cl 2.61
4 Mg 0.9632 0.9632 0.0000  4 Mg 3.13-3.34, 4 Cl 3.14, 2 Hg 3.33


b) Mg2HgCl | PBE-GGA | relaxed

Results
The density comes out at 5.1 Mg/m³. As for the volume: 93 Å³/cell. As for the crystal system: orthorhombic.

a = 3.5466 Å, b = 3.5466 Å, c = 8.5087 Å
α = 90.00°, β = 90.00°, γ = 119.87°
Last column: nearest neighbours and their distance in Å.
Atoms (fractional coordinates):
1 Hg 0.5000 0.5000 0.7500  4 Mg 2.80
2 Cl 0.5000 0.5000 0.2500  4 Mg 2.74
3 Mg 0.0000 0.0000 0.0042  2 Cl 2.74, 2 Hg 2.80
4 Mg 0.0000 0.0000 0.4958  2 Cl 2.74, 2 Hg 2.80


c) Mg2HgCl | PBE-GGA | relaxed

Results
The density comes out at 5.0 Mg/m³. As for the volume: 95 Å³/cell. As for the crystal system: orthorhombic.

a = 5.7151 Å, b = 5.7151 Å, c = 5.7151 Å
α = 145.86°, β = 112.71°, γ = 77.66°
Last column: nearest neighbours and their distance in Å.
Atoms (fractional coordinates):
1 Mg 0.5177 0.5177 0.0000  2 Cl 2.66, 2 Hg 2.91
2 Hg 0.2500 0.7500 0.5000  4 Mg 2.91
3 Cl 0.7500 0.2500 0.5000  4 Mg 2.66
4 Mg 0.9823 0.9823 0.0000  2 Cl 2.66, 2 Hg 2.91


Name the most stable of them. b).


a) Mg2HgCl | PBE-GGA | relaxed

Results
The density comes out at 5.5 Mg/m³. As for the volume: 86 Å³/cell. As for the crystal system: tetragonal.

a = 3.3225 Å, b = 3.3225 Å, c = 7.8220 Å
α = 90.00°, β = 90.00°, γ = 90.00°
Last column: nearest neighbours and their distance in Å.
Atoms (fractional coordinates):
1 Mg 0.0000 0.0000 0.9859  4 Hg 2.99, 4 Cl 3.13, 4 Mg 3.32
2 Cl 0.5000 0.5000 0.2500  8 Mg 3.13, 4 Cl 3.32
3 Hg 0.5000 0.5000 0.7500  8 Mg 2.99, 4 Hg 3.32
4 Mg 0.0000 0.0000 0.5141  4 Hg 2.99, 4 Cl 3.13, 4 Mg 3.32


b) Mg2HgCl | PBE-GGA | relaxed

Results
The density comes out at 4.9 Mg/m³. As for the volume: 192 Å³/cell. As for the crystal system: tetragonal.

a = 7.4471 Å, b = 7.4471 Å, c = 6.2982 Å
α = 53.76°, β = 53.76°, γ = 90.00°
Last column: nearest neighbours and their distance in Å.
Atoms (fractional coordinates):
1 Mg 0.3750 0.3937 0.7500  2 Cl 2.68, 2 Hg 2.87
2 Cl 0.5000 0.5000 0.0000  4 Mg 2.68
3 Cl 0.2500 0.7500 0.5000  4 Mg 2.68
4 Hg 0.0000 0.0000 0.0000  4 Mg 2.87
5 Mg 0.1437 0.6250 0.2500  2 Cl 2.68, 2 Hg 2.87
6 Mg 0.8750 0.8563 0.7500  2 Cl 2.68, 2 Hg 2.87
7 Hg 0.7500 0.2500 0.5000  4 Mg 2.87
8 Mg 0.6063 0.1250 0.2500  2 Cl 2.68, 2 Hg 2.87


c) Mg2HgCl | PBE-GGA | relaxed

Results
The density comes out at 5.1 Mg/m³. As for the volume: 92 Å³/cell. As for the crystal system: orthorhombic.

a = 3.4304 Å, b = 4.6790 Å, c = 5.7393 Å
α = 90.00°, β = 90.00°, γ = 90.00°
Last column: nearest neighbours and their distance in Å.
Atoms (fractional coordinates):
1 Mg 0.0000 0.0000 0.9003  1 Cl 2.66, 4 Hg 2.91
2 Cl 0.0000 0.0000 0.3639  5 Mg 2.66-2.90
3 Hg 0.5000 0.5000 0.8668  6 Mg 2.86-2.91
4 Mg 0.5000 0.5000 0.3690  2 Hg 2.86-2.88, 4 Cl 2.90


d) Mg2HgCl | PBE-GGA | relaxed

Results
The density comes out at 4.8 Mg/m³. As for the volume: 99 Å³/cell. As for the crystal system: tetragonal.

a = 3.3749 Å, b = 3.3749 Å, c = 8.7013 Å
α = 90.00°, β = 90.00°, γ = 90.00°
Last column: nearest neighbours and their distance in Å.
Atoms (fractional coordinates):
1 Mg 0.0000 0.0000 0.0133  4 Hg 2.98, 4 Mg 3.23
2 Cl 0.0000 0.0000 0.4155  4 Mg 2.73
3 Hg 0.5000 0.5000 0.8081  4 Mg 2.98
4 Mg 0.5000 0.5000 0.2631  4 Cl 2.73


Name the most stable of them. d).


a) Mg2HgCl | PBE-GGA | relaxed

Results
The density comes out at 5.3 Mg/m³. As for the volume: 89 Å³/cell. As for the crystal system: monoclinic.

a = 5.2986 Å, b = 5.2986 Å, c = 3.2160 Å
α = 82.66°, β = 82.66°, γ = 88.67°
Last column: nearest neighbours and their distance in Å.
Atoms (fractional coordinates):
1 Mg 0.0000 0.0000 0.0000  2 Cl 2.92, 2 Hg 2.92, 2 Mg 3.22
2 Mg 0.5000 0.5000 0.0000  2 Hg 2.92, 2 Cl 2.92, 2 Mg 3.22
3 Hg 0.0000 0.5000 0.5000  4 Mg 2.92, 2 Hg 3.22
4 Cl 0.5000 0.0000 0.5000  4 Mg 2.92, 2 Cl 3.22


b) Mg2HgCl | PBE-GGA | relaxed

Results
The density comes out at 5.4 Mg/m³. As for the volume: 87 Å³/cell. As for the crystal system: trigonal.

a = 8.1662 Å, b = 8.1662 Å, c = 8.1662 Å
α = 25.28°, β = 25.28°, γ = 25.28°
Last column: nearest neighbours and their distance in Å.
Atoms (fractional coordinates):
1 Hg 0.7500 0.7500 0.7500  6 Mg 2.85
2 Cl 0.2500 0.2500 0.2500  6 Mg 2.87
3 Mg 0.4994 0.4994 0.4994  3 Hg 2.85, 3 Cl 2.87
4 Mg 0.0006 0.0006 0.0006  3 Hg 2.85, 3 Cl 2.87


Name the most stable of them. b).


a) Mg2HgCl | PBE-GGA | relaxed

Results
The density comes out at 4.9 Mg/m³. As for the volume: 96 Å³/cell. As for the crystal system: cubic.

a = 5.1328 Å, b = 5.1328 Å, c = 5.1328 Å
α = 60.00°, β = 60.00°, γ = 60.00°
Last column: nearest neighbours and their distance in Å.
Atoms (fractional coordinates):
1 Cl 0.0000 0.0000 0.0000  8 Mg 3.14
2 Hg 0.5000 0.5000 0.5000  8 Mg 3.14
3 Mg 0.2500 0.2500 0.2500  4 Hg 3.14, 4 Cl 3.14
4 Mg 0.7500 0.7500 0.7500  4 Cl 3.14, 4 Hg 3.14


b) Mg2HgCl | PBE-GGA | relaxed

Results
The density comes out at 4.9 Mg/m³. As for the volume: 97 Å³/cell. As for the crystal system: orthorhombic.

a = 3.3394 Å, b = 6.2384 Å, c = 4.6366 Å
α = 90.00°, β = 90.00°, γ = 90.00°
Last column: nearest neighbours and their distance in Å.
Atoms (fractional coordinates):
1 Mg 0.0000 0.0000 0.0000  4 Cl 2.86
2 Mg 0.5000 0.5000 0.0000  4 Hg 2.86
3 Cl 0.5000 0.0000 0.5000  4 Mg 2.86
4 Hg 0.0000 0.5000 0.5000  4 Mg 2.86


Name the most stable of them. b).